[1]
GGA-PBE Th6Sb3As2Se, relaxed; space-group type = No. 12
1.0
-2.077 -1.312 -3.612
-0.020 -8.229 3.000
-7.114 4.301 5.171
Th Se As Sb
6 1 2 3
Direct
0.327 0.430 0.655 Th
0.673 0.570 0.345 Th
0.994 0.762 0.988 Th
0.338 0.901 0.676 Th
0.662 0.099 0.324 Th
0.006 0.238 0.012 Th
0.500 0.000 0.000 Se
0.833 0.666 0.667 As
0.167 0.334 0.333 As
0.500 0.500 0.000 Sb
0.166 0.834 0.333 Sb
0.834 0.166 0.667 Sb

=====

[2]
GGA-PBE TiSbAsSe2, relaxed; E above lowest polymorph = 0.000 eV/atom; space-group type = No. 123
1.0
4.872 0.000 0.000
0.000 4.872 0.000
0.000 0.000 5.111
Se As Ti Sb
2 1 1 1
Direct
0.000 0.500 0.000 Se
0.500 0.000 0.000 Se
0.000 0.000 0.500 As
0.000 0.000 0.000 Ti
0.500 0.500 0.500 Sb

=====

[3]
GGA-PBE TlSbAsSe2, relaxed; E above lowest polymorph = 0.000 eV/atom; space-group type = No. 123
1.0
5.442 0.000 0.000
0.000 5.442 0.000
0.000 0.000 5.339
As Tl Se Sb
1 1 2 1
Direct
0.000 0.000 0.500 As
0.500 0.500 0.500 Tl
0.500 0.000 0.000 Se
0.000 0.500 0.000 Se
0.000 0.000 0.000 Sb

=====

[4]
GGA-PBE Tl2SbAsSe4, relaxed; space-group type = No. 74
1.0
-0.801 5.178 6.743
-6.164 -5.019 3.120
7.703 -3.315 -2.072
Tl Sb Se As
4 2 8 2
Direct
0.500 0.000 0.500 Tl
0.500 0.000 0.000 Tl
0.500 0.500 0.000 Tl
0.000 0.000 0.500 Tl
0.000 0.500 0.500 Sb
0.000 0.500 0.000 Sb
0.759 0.741 0.964 Se
0.241 0.259 0.464 Se
0.787 0.250 0.018 Se
0.759 0.741 0.536 Se
0.213 0.750 0.982 Se
0.241 0.259 0.036 Se
0.750 0.287 0.518 Se
0.250 0.713 0.482 Se
0.000 0.000 0.000 As
0.500 0.500 0.500 As

=====

[5]
GGA-PBE TlSbAs2Se, relaxed; E above lowest polymorph = 0.000 eV/atom; space-group type = No. 123
1.0
-3.299 -1.359 3.982
4.173 -1.702 2.877
0.550 5.008 2.165
Se Sb As Tl
1 1 2 1
Direct
0.000 0.000 0.500 Se
0.000 0.000 0.000 Sb
0.000 0.500 0.000 As
0.500 0.000 0.000 As
0.500 0.500 0.500 Tl

=====

[6]
GGA-PBE Tm6SbAs3Se2, relaxed; space-group type = No. 12
1.0
4.095 0.000 0.000
0.000 8.211 0.270
-2.048 -2.391 8.619
Se As Tm Sb
2 3 6 1
Direct
0.831 0.664 0.663 Se
0.169 0.336 0.337 Se
0.500 0.500 0.000 As
0.167 0.831 0.333 As
0.833 0.169 0.667 As
0.672 0.077 0.343 Tm
0.664 0.590 0.328 Tm
0.328 0.923 0.657 Tm
0.336 0.410 0.672 Tm
0.002 0.738 0.004 Tm
0.998 0.262 0.996 Tm
0.500 0.000 0.000 Sb

=====

no.,raw formation energy (eV per atom)
1,-1.18
2,-0.06
3,0.29
4,-0.26
5,0.51
6,-1.53